Compound: Tl3Sb2Pb2
Source: Alexandria via LeMat-Bulk
Functional: PBE
Structure: optimized geometry

Summary:
formation energy without anion corrections	0.062	eV per atom
symmetry	No. 71

```
Tl3Sb2Pb2
1.0
-6.149 6.766 5.958
-3.658 10.242 0.886
2.187 -9.394 -5.104
Tl Sb Pb
3 2 2
Direct
0.000 0.000 0.000 Tl
0.247 0.247 0.000 Tl
0.753 0.753 0.000 Tl
0.881 0.381 0.500 Sb
0.119 0.619 0.500 Sb
0.616 0.116 0.500 Pb
0.384 0.884 0.500 Pb
```

Compound: Nd8Tm2Sc3
Source: Alexandria via LeMat-Bulk
Functional: PBE
Structure: optimized geometry

Summary:
symmetry	No. 12
formation energy from the elements	238.4	meV/atom

```
Nd8Tm2Sc3
1.0
-5.543 1.378 -3.428
-4.958 -2.349 7.073
3.749 7.834 -0.434
Nd Tm Sc
8 2 3
Direct
0.901 0.591 0.182 Nd
0.099 0.409 0.818 Nd
0.821 0.190 0.381 Nd
0.179 0.810 0.619 Nd
0.565 0.571 0.777 Nd
0.565 0.205 0.777 Nd
0.435 0.795 0.223 Nd
0.435 0.429 0.223 Nd
0.302 0.194 0.388 Tm
0.698 0.806 0.612 Tm
0.500 0.000 0.000 Sc
0.000 0.161 0.000 Sc
0.000 0.839 0.000 Sc
```

Compound: AlB2Os
Source: Alexandria via LeMat-Bulk
Functional: PBE
Structure: optimized geometry

Summary:
symmetry	No. 122
formation energy from the elements	570.0	meV/atom

```
AlB2Os
1.0
4.863 0.000 0.000
0.000 4.863 0.000
2.432 2.432 4.852
B Os Al
4 2 2
Direct
0.663 0.125 0.250 B
0.087 0.625 0.250 B
0.375 0.337 0.750 B
0.875 0.913 0.750 B
0.000 0.000 0.000 Os
0.750 0.250 0.500 Os
0.500 0.500 0.000 Al
0.250 0.750 0.500 Al
```

Compound: La2TbDy6
Source: Alexandria via LeMat-Bulk
Functional: PBE
Structure: optimized geometry

Summary:
symmetry	No. 15
formation energy from the elements	115.1	meV/atom

```
La2TbDy6
1.0
-9.531 1.426 0.600
-0.246 -9.474 1.851
-0.578 0.263 6.581
La Tb Dy
4 2 12
Direct
0.671 0.615 0.122 La
0.385 0.329 0.378 La
0.329 0.385 0.878 La
0.615 0.671 0.622 La
0.884 0.116 0.250 Tb
0.116 0.884 0.750 Tb
0.274 0.656 0.503 Dy
0.344 0.726 0.997 Dy
0.726 0.344 0.497 Dy
0.656 0.274 0.003 Dy
0.461 0.057 0.733 Dy
0.943 0.539 0.767 Dy
0.539 0.943 0.267 Dy
0.057 0.461 0.233 Dy
0.959 0.778 0.314 Dy
0.222 0.041 0.186 Dy
0.041 0.222 0.686 Dy
0.778 0.959 0.814 Dy
```

Computed values of total moment (unit: μB per atom) for the preceding records, in sequence: 0.000, 0.000, 0.000, 0.000.